No. 1
{"formula": "CaTc2Mo", "functional": "PBE-GGA", "state": "optimized geometry", "formation_enthalpy_0k_ev_per_atom": 0.718, "energy_ev_per_atom": -7.673, "lattice_angstrom": [[3.1060, 0.0000, 0.0000], [0.0000, 4.5168, 0.0000], [0.0000, 0.0000, 4.7851]], "species": ["Ca", "Tc", "Tc", "Mo"], "fractional_positions": [[0.0000, 0.0000, 0.0000], [0.0000, 0.5000, 0.5000], [0.5000, 0.5000, 0.0000], [0.5000, 0.0000, 0.5000]]}

=====

No. 2
{"formula": "Nd3ThHg4", "functional": "PBE-GGA", "state": "optimized geometry", "formation_enthalpy_0k_ev_per_atom": -0.399, "energy_ev_per_atom": -3.265, "lattice_angstrom": [[3.8193, 0.0000, 0.0000], [0.0000, 3.8193, 0.0000], [0.0000, 0.0000, 15.4387]], "species": ["Nd", "Nd", "Nd", "Th", "Hg", "Hg", "Hg", "Hg"], "fractional_positions": [[0.0000, 0.0000, 0.0000], [0.0000, 0.0000, 0.2497], [0.0000, 0.0000, 0.7503], [0.0000, 0.0000, 0.5000], [0.5000, 0.5000, 0.1250], [0.5000, 0.5000, 0.3736], [0.5000, 0.5000, 0.6264], [0.5000, 0.5000, 0.8750]]}

=====

No. 3
{"formula": "Ta2InP", "functional": "PBE-GGA", "state": "optimized geometry", "formation_enthalpy_0k_ev_per_atom": 0.543, "energy_ev_per_atom": -7.420, "lattice_angstrom": [[0.0000, 3.3242, 3.3242], [3.3242, 0.0000, 3.3242], [3.3242, 3.3242, 0.0000]], "species": ["Ta", "Ta", "In", "P"], "fractional_positions": [[0.0000, 0.0000, 0.0000], [0.2500, 0.2500, 0.2500], [0.5000, 0.5000, 0.5000], [0.7500, 0.7500, 0.7500]]}

=====

No. 4
{"formula": "LiEuZnHg", "functional": "PBE-GGA", "state": "optimized geometry", "formation_enthalpy_0k_ev_per_atom": -0.267, "energy_ev_per_atom": -3.708, "lattice_angstrom": [[0.0000, 3.6209, 3.6209], [3.6209, 0.0000, 3.6209], [3.6209, 3.6209, 0.0000]], "species": ["Li", "Eu", "Zn", "Hg"], "fractional_positions": [[0.0000, 0.0000, 0.0000], [0.5000, 0.5000, 0.5000], [0.7500, 0.7500, 0.7500], [0.2500, 0.2500, 0.2500]]}

=====

No. 5
{"formula": "Sm2ThGa2Cu2", "functional": "PBE-GGA", "state": "optimized geometry", "formation_enthalpy_0k_ev_per_atom": -0.357, "energy_ev_per_atom": -4.800, "lattice_angstrom": [[2.2115, 1.2768, 9.4056], [-2.2115, 1.2768, 9.4056], [0.0000, -2.5536, 9.4056]], "species": ["Sm", "Sm", "Th", "Ga", "Ga", "Cu", "Cu"], "fractional_positions": [[0.1253, 0.1253, 0.1253], [0.8747, 0.8747, 0.8747], [0.0000, 0.0000, 0.0000], [0.2641, 0.2641, 0.2641], [0.7359, 0.7359, 0.7359], [0.3982, 0.3982, 0.3982], [0.6018, 0.6018, 0.6018]]}

=====

No. 6
{"formula": "Tb3Sm4In2", "functional": "PBE-GGA", "state": "optimized geometry", "formation_enthalpy_0k_ev_per_atom": -0.134, "energy_ev_per_atom": -4.383, "lattice_angstrom": [[6.4590, -6.8312, 0.0000], [6.4590, 6.8312, 0.0000], [-0.6211, 0.0000, 6.4745]], "species": ["Tb", "Tb", "Tb", "Tb", "Tb", "Tb", "Sm", "Sm", "Sm", "Sm", "Sm", "Sm", "Sm", "Sm", "In", "In", "In", "In"], "fractional_positions": [[0.0306, 0.9694, 0.7500], [0.3239, 0.4498, 0.3982], [0.4498, 0.3239, 0.8982], [0.5502, 0.6761, 0.1018], [0.6761, 0.5502, 0.6018], [0.9694, 0.0306, 0.2500], [0.0248, 0.6779, 0.4126], [0.1828, 0.6042, 0.9175], [0.3221, 0.9752, 0.0874], [0.3958, 0.8172, 0.5825], [0.6042, 0.1828, 0.4175], [0.6779, 0.0248, 0.9126], [0.8172, 0.3958, 0.0825], [0.9752, 0.3221, 0.5874], [0.1336, 0.2734, 0.0440], [0.2734, 0.1336, 0.5440], [0.7266, 0.8664, 0.4560], [0.8664, 0.7266, 0.9560]]}

=====

No. 7
{"formula": "CaTb2Pr", "functional": "PBE-GGA", "state": "optimized geometry", "formation_enthalpy_0k_ev_per_atom": 0.060, "energy_ev_per_atom": -3.951, "lattice_angstrom": [[1.8270, 1.0548, 12.0966], [-1.8270, 1.0548, 12.0966], [0.0000, -2.1097, 12.0966]], "species": ["Ca", "Tb", "Tb", "Pr"], "fractional_positions": [[0.0000, 0.0000, 0.0000], [0.5796, 0.5796, 0.5796], [0.7527, 0.7527, 0.7527], [0.1657, 0.1657, 0.1657]]}

=====

No. 8
{"formula": "NdCdPdAu", "functional": "PBE-GGA", "state": "optimized geometry", "formation_enthalpy_0k_ev_per_atom": -0.640, "energy_ev_per_atom": -4.179, "lattice_angstrom": [[4.1595, -2.3918, 0.0000], [4.1595, 2.3918, 0.0000], [-2.7641, 0.0000, 4.4627]], "species": ["Nd", "Cd", "Pd", "Au"], "fractional_positions": [[0.0000, 0.0000, 0.0000], [0.4910, 0.4910, 0.4735], [0.7761, 0.7761, 0.3284], [0.2277, 0.2277, 0.6846]]}

=====

No. 9
{"formula": "Sr4As2O", "functional": "PBE-GGA", "state": "optimized geometry", "energy_ev_per_atom": -4.611, "raw_formation_energy_ev_per_atom": -1.61, "lattice_angstrom": [[-2.4413, 2.4413, 8.2299], [2.4413, -2.4413, 8.2299], [2.4413, 2.4413, -8.2299]], "species": ["Sr", "Sr", "Sr", "Sr", "As", "As", "O"], "fractional_positions": [[0.0000, 0.5000, 0.5000], [0.1738, 0.1738, 0.0000], [0.5000, 0.0000, 0.5000], [0.8262, 0.8262, 0.0000], [0.3639, 0.3639, 0.0000], [0.6361, 0.6361, 0.0000], [0.0000, 0.0000, 0.0000]]}

=====

No. 10
{"formula": "Ca2TbTlCl8", "functional": "PBE-GGA", "state": "optimized geometry", "energy_ev_per_atom": -4.252, "raw_formation_energy_ev_per_atom": -2.10, "lattice_angstrom": [[6.4216, 0.0000, 0.0000], [0.0000, 8.7225, 0.0000], [-0.0504, 0.0000, 6.6724]], "species": ["Ca", "Ca", "Tb", "Tl", "Cl", "Cl", "Cl", "Cl", "Cl", "Cl", "Cl", "Cl"], "fractional_positions": [[0.0000, 0.2468, 0.0000], [0.0000, 0.7532, 0.0000], [0.5000, 0.5000, 0.5000], [0.5000, 0.0000, 0.5000], [0.2188, 0.0000, 0.8684], [0.2319, 0.5000, 0.8193], [0.2649, 0.2882, 0.3255], [0.2649, 0.7118, 0.3255], [0.7351, 0.2882, 0.6745], [0.7351, 0.7118, 0.6745], [0.7681, 0.5000, 0.1807], [0.7812, 0.0000, 0.1316]]}

=====

No. 11
{"formula": "CsBaS2O8", "functional": "PBE-GGA", "state": "optimized geometry", "energy_ev_per_atom": -6.027, "raw_formation_energy_ev_per_atom": -1.80, "lattice_angstrom": [[5.6707, 0.0000, 0.0000], [-2.8354, 4.9110, 0.0000], [0.0000, 0.0000, 9.3164]], "species": ["Cs", "Ba", "S", "S", "O", "O", "O", "O", "O", "O", "O", "O"], "fractional_positions": [[0.0000, 0.0000, 0.0000], [0.0000, 0.0000, 0.5000], [0.3333, 0.6667, 0.7430], [0.6667, 0.3333, 0.2570], [0.1124, 0.3986, 0.6897], [0.2862, 0.8876, 0.6897], [0.3333, 0.6667, 0.9023], [0.3986, 0.2862, 0.3103], [0.6014, 0.7138, 0.6897], [0.6667, 0.3333, 0.0977], [0.7138, 0.1124, 0.3103], [0.8876, 0.6014, 0.3103]]}

=====

No. 12
{"formula": "NpPaAs2", "functional": "PBE-GGA", "state": "optimized geometry", "formation_enthalpy_0k_ev_per_atom": -0.657, "energy_ev_per_atom": -8.591, "lattice_angstrom": [[0.0000, 3.5272, 3.5272], [3.5272, 0.0000, 3.5272], [3.5272, 3.5272, 0.0000]], "species": ["Np", "Pa", "As", "As"], "fractional_positions": [[0.0000, 0.0000, 0.0000], [0.5000, 0.5000, 0.5000], [0.2500, 0.2500, 0.2500], [0.7500, 0.7500, 0.7500]]}

=====

No. 13
{"formula": "GaGeTePd2", "functional": "PBE-GGA", "state": "optimized geometry", "energy_ev_per_atom": -3.959, "raw_formation_energy_ev_per_atom": 0.27, "lattice_angstrom": [[4.7292, 0.0000, 0.0000], [0.0000, 4.7292, 0.0000], [0.0000, 0.0000, 4.9832]], "species": ["Ga", "Ge", "Te", "Pd", "Pd"], "fractional_positions": [[0.0000, 0.0000, 0.0000], [0.0000, 0.0000, 0.5000], [0.5000, 0.5000, 0.5000], [0.0000, 0.5000, 0.0000], [0.5000, 0.0000, 0.0000]]}

=====

No. 14
{"formula": "In2IrPd", "functional": "PBE-GGA", "state": "optimized geometry", "formation_enthalpy_0k_ev_per_atom": -0.274, "energy_ev_per_atom": -5.157, "lattice_angstrom": [[3.0962, 0.0000, 0.0000], [0.0000, 3.0962, 0.0000], [0.0000, 0.0000, 7.3282]], "species": ["In", "In", "Ir", "Pd"], "fractional_positions": [[0.0000, 0.0000, 0.2449], [0.0000, 0.0000, 0.7551], [0.5000, 0.5000, 0.0000], [0.5000, 0.5000, 0.5000]]}

=====

No. 15
{"formula": "Zn2InTcI", "functional": "PBE-GGA", "state": "optimized geometry", "energy_ev_per_atom": -2.165, "raw_formation_energy_ev_per_atom": 1.28, "lattice_angstrom": [[5.3858, 0.0000, 0.0000], [0.0000, 5.3858, 0.0000], [0.0000, 0.0000, 5.0493]], "species": ["Zn", "Zn", "In", "Tc", "I"], "fractional_positions": [[0.0000, 0.5000, 0.0000], [0.5000, 0.0000, 0.0000], [0.0000, 0.0000, 0.5000], [0.5000, 0.5000, 0.5000], [0.5000, 0.5000, 0.0000]]}

=====

No. 16
{"formula": "SmDy2Th3", "functional": "PBE-GGA", "state": "optimized geometry", "formation_enthalpy_0k_ev_per_atom": 0.187, "energy_ev_per_atom": -5.843, "lattice_angstrom": [[5.1218, -5.6691, 0.0000], [5.1218, 5.6691, 0.0000], [0.0000, 0.0000, 6.7397]], "species": ["Sm", "Sm", "Dy", "Dy", "Dy", "Dy", "Th", "Th", "Th", "Th", "Th", "Th"], "fractional_positions": [[0.2304, 0.7696, 0.7500], [0.7696, 0.2304, 0.2500], [0.1042, 0.5632, 0.2500], [0.4368, 0.8958, 0.2500], [0.5632, 0.1042, 0.7500], [0.8958, 0.4368, 0.7500], [0.1672, 0.1672, 0.0000], [0.1672, 0.1672, 0.5000], [0.5000, 0.5000, 0.0000], [0.5000, 0.5000, 0.5000], [0.8328, 0.8328, 0.0000], [0.8328, 0.8328, 0.5000]]}

=====

No. 17
{"formula": "CdGaIO2", "functional": "PBE-GGA", "state": "optimized geometry", "energy_ev_per_atom": -3.488, "raw_formation_energy_ev_per_atom": -0.41, "lattice_angstrom": [[3.9664, 0.0000, 0.0000], [0.0000, 3.9664, 0.0000], [0.0000, 0.0000, 6.0814]], "species": ["Cd", "Ga", "I", "O", "O"], "fractional_positions": [[0.0000, 0.0000, 0.0000], [0.5000, 0.5000, 0.5000], [0.5000, 0.5000, 0.0000], [0.0000, 0.5000, 0.5000], [0.5000, 0.0000, 0.5000]]}

=====

No. 18
{"formula": "Na2CeScTe4", "functional": "PBE-GGA", "state": "optimized geometry", "energy_ev_per_atom": -4.639, "raw_formation_energy_ev_per_atom": -1.21, "lattice_angstrom": [[7.6402, 0.0000, 0.0000], [0.0000, 4.4059, 0.0000], [-2.5407, 0.0000, 7.5312]], "species": ["Na", "Na", "Ce", "Sc", "Te", "Te", "Te", "Te"], "fractional_positions": [[0.0000, 0.0000, 0.0000], [0.5000, 0.5000, 0.0000], [0.0000, 0.5000, 0.5000], [0.5000, 0.0000, 0.5000], [0.2621, 0.0000, 0.7343], [0.2745, 0.5000, 0.2757], [0.7255, 0.5000, 0.7243], [0.7379, 0.0000, 0.2657]]}

=====

No. 19
{"formula": "Pm2Al4ZnPd3", "functional": "PBE-GGA", "state": "optimized geometry", "formation_enthalpy_0k_ev_per_atom": -0.752, "energy_ev_per_atom": -4.884, "lattice_angstrom": [[4.2770, 0.0000, 0.0000], [0.0000, 4.2770, 0.0000], [0.0000, 0.0000, 10.5548]], "species": ["Pm", "Pm", "Al", "Al", "Al", "Al", "Zn", "Pd", "Pd", "Pd"], "fractional_positions": [[0.0000, 0.5000, 0.2489], [0.5000, 0.0000, 0.7511], [0.0000, 0.0000, 0.5000], [0.0000, 0.5000, 0.8677], [0.5000, 0.0000, 0.1323], [0.5000, 0.5000, 0.5000], [0.5000, 0.5000, 0.0000], [0.0000, 0.0000, 0.0000], [0.0000, 0.5000, 0.6310], [0.5000, 0.0000, 0.3690]]}

=====

No. 20
{"formula": "LiMo3Os", "functional": "PBE-GGA", "state": "optimized geometry", "formation_enthalpy_0k_ev_per_atom": 1.254, "energy_ev_per_atom": -7.873, "lattice_angstrom": [[4.1715, 0.0000, 0.0000], [0.0000, 4.1715, 0.0000], [0.0000, 0.0000, 4.1715]], "species": ["Li", "Mo", "Mo", "Mo", "Os"], "fractional_positions": [[0.0000, 0.0000, 0.0000], [0.0000, 0.0000, 0.5000], [0.0000, 0.5000, 0.0000], [0.5000, 0.0000, 0.0000], [0.5000, 0.5000, 0.5000]]}